Entry 1:
Compound: AlSbIN2
Source: Alexandria via LeMat-Bulk
Functional: GGA-PBE
Structure: relaxed Values from VASP.

Geometry as Quantum ESPRESSO input:
```
&SYSTEM
  ibrav = 0, nat = 5, ntyp = 4
/
ATOMIC_SPECIES
Al 26.98 Al.upf
Sb 121.76 Sb.upf
I 126.90 I.upf
N 14.01 N.upf
CELL_PARAMETERS angstrom
4.1580 0.0000 0.0000
0.0000 4.1580 0.0000
0.0000 0.0000 6.7834
ATOMIC_POSITIONS crystal
Al 0.0000 0.0000 0.0000
Sb 0.5000 0.5000 0.5000
I 0.5000 0.5000 0.0000
N 0.0000 0.5000 0.5000
N 0.5000 0.0000 0.5000
```

Calculated values
The uncorrected formation energy is 1.25 eV/atom. Its calculated total energy is -19.827 eV for the cell shown. The calculation puts the energy above the most stable polymorph in this dataset at 132 meV/atom. The density of states at the Fermi level comes out at 0.37 states/eV/atom. The space-group type is P4/mmm.


Entry 2:
Compound: AlFe2PH
Source: Alexandria via LeMat-Bulk
Functional: GGA-PBE
Structure: relaxed Values from VASP.

Geometry as Quantum ESPRESSO input:
```
&SYSTEM
  ibrav = 0, nat = 5, ntyp = 4
/
ATOMIC_SPECIES
Al 26.98 Al.upf
Fe 55.84 Fe.upf
P 30.97 P.upf
H 1.01 H.upf
CELL_PARAMETERS angstrom
4.2644 0.0000 0.0000
0.0000 4.2644 0.0000
0.0000 0.0000 3.0951
ATOMIC_POSITIONS crystal
Al 0.0000 0.0000 0.0000
Fe 0.0000 0.5000 0.5000
Fe 0.5000 0.0000 0.5000
P 0.5000 0.5000 0.5000
H 0.5000 0.5000 0.0000
```

Calculated values
Its calculated total energy is -27.905 eV for the cell shown. The calculation puts the energy above the most stable polymorph in this dataset at 0 meV/atom. The density of states at the Fermi level comes out at 1.09 states/eV/atom. The space-group type is P4/mmm.


Entry 3:
Compound: Rb4U3CdO12
Source: Alexandria via LeMat-Bulk
Functional: GGA-PBE
Structure: relaxed Values from VASP.

Geometry as Quantum ESPRESSO input:
```
&SYSTEM
  ibrav = 0, nat = 20, ntyp = 4
/
ATOMIC_SPECIES
Rb 85.47 Rb.upf
U 238.03 U.upf
Cd 112.41 Cd.upf
O 16.00 O.upf
CELL_PARAMETERS angstrom
-4.3629 4.3629 4.3629
4.3629 -4.3629 4.3629
4.3629 4.3629 -4.3629
ATOMIC_POSITIONS crystal
Rb 0.0000 0.0000 0.5000
Rb 0.0000 0.5000 0.0000
Rb 0.5000 0.0000 0.0000
Rb 0.5000 0.5000 0.5000
U 0.0000 0.5000 0.5000
U 0.5000 0.0000 0.5000
U 0.5000 0.5000 0.0000
Cd 0.0000 0.0000 0.0000
O 0.0000 0.2742 0.2742
O 0.0000 0.7258 0.7258
O 0.2500 0.5000 0.7500
O 0.2500 0.7500 0.5000
O 0.2742 0.0000 0.2742
O 0.2742 0.2742 0.0000
O 0.5000 0.2500 0.7500
O 0.5000 0.7500 0.2500
O 0.7258 0.0000 0.7258
O 0.7258 0.7258 0.0000
O 0.7500 0.2500 0.5000
O 0.7500 0.5000 0.2500
```

Calculated values
The uncorrected formation energy is -2.61 eV/atom. Its calculated total energy is -150.368 eV for the cell shown. The density of states at the Fermi level comes out at 0.00 states/eV/atom. The space-group type is Im-3m.


Entry 4:
Compound: Os
Source: Alexandria via LeMat-Bulk
Functional: GGA-PBE
Structure: relaxed Values from VASP.

Geometry as Quantum ESPRESSO input:
```
&SYSTEM
  ibrav = 0, nat = 16, ntyp = 1
/
ATOMIC_SPECIES
Os 190.23 Os.upf
CELL_PARAMETERS angstrom
7.5045 0.0000 0.0000
0.0000 7.5045 0.0000
0.0000 0.0000 8.0319
ATOMIC_POSITIONS crystal
Os 0.1608 0.0892 0.3750
Os 0.1608 0.4108 0.3750
Os 0.1608 0.5892 0.6250
Os 0.1608 0.9108 0.6250
Os 0.3392 0.0892 0.1250
Os 0.3392 0.4108 0.1250
Os 0.3392 0.5892 0.8750
Os 0.3392 0.9108 0.8750
Os 0.6608 0.0892 0.1250
Os 0.6608 0.4108 0.1250
Os 0.6608 0.5892 0.8750
Os 0.6608 0.9108 0.8750
Os 0.8392 0.0892 0.3750
Os 0.8392 0.4108 0.3750
Os 0.8392 0.5892 0.6250
Os 0.8392 0.9108 0.6250
```

Calculated values
The calculation puts the formation energy at 168.8 kJ per mole of atoms. Its calculated total energy is -151.679 eV for the cell shown. The calculation puts the energy above the most stable polymorph in this dataset at 1750 meV/atom. The density of states at the Fermi level comes out at 0.94 states/eV/atom. The space-group type is I4_1/amd.


Entry 5:
Compound: Na2YB2O6
Source: Alexandria via LeMat-Bulk
Functional: GGA-PBE
Structure: relaxed Values from VASP.

Geometry as Quantum ESPRESSO input:
```
&SYSTEM
  ibrav = 0, nat = 11, ntyp = 4
/
ATOMIC_SPECIES
Na 22.99 Na.upf
Y 88.91 Y.upf
B 10.81 B.upf
O 16.00 O.upf
CELL_PARAMETERS angstrom
5.3340 0.0000 0.0000
-2.6670 4.6194 0.0000
0.0000 0.0000 6.1890
ATOMIC_POSITIONS crystal
Na 0.3333 0.6667 0.3433
Na 0.6667 0.3333 0.6567
Y 0.0000 0.0000 0.0000
B 0.3333 0.6667 0.7912
B 0.6667 0.3333 0.2088
O 0.1037 0.3875 0.7845
O 0.2838 0.8963 0.7845
O 0.3875 0.2838 0.2155
O 0.6125 0.7162 0.7845
O 0.7162 0.1037 0.2155
O 0.8963 0.6125 0.2155
```

Calculated values
The uncorrected formation energy is -2.37 eV/atom. Its calculated total energy is -78.268 eV for the cell shown. The density of states at the Fermi level comes out at 0.47 states/eV/atom. The space-group type is P-3.


Entry 6:
Compound: PrNd4Er3S8
Source: Alexandria via LeMat-Bulk
Functional: GGA-PBE
Structure: relaxed Values from VASP.

Geometry as Quantum ESPRESSO input:
```
&SYSTEM
  ibrav = 0, nat = 16, ntyp = 4
/
ATOMIC_SPECIES
Pr 140.91 Pr.upf
Nd 144.24 Nd.upf
Er 167.26 Er.upf
S 32.06 S.upf
CELL_PARAMETERS angstrom
3.9792 2.2974 6.6087
-3.9792 2.2974 6.6087
0.0000 -4.5948 6.6087
ATOMIC_POSITIONS crystal
Pr 0.0000 0.0000 0.0000
Nd 0.0000 0.0000 0.5000
Nd 0.0000 0.5000 0.0000
Nd 0.5000 0.0000 0.0000
Nd 0.5000 0.5000 0.5000
Er 0.0000 0.5000 0.5000
Er 0.5000 0.0000 0.5000
Er 0.5000 0.5000 0.0000
S 0.2508 0.2508 0.7349
S 0.2508 0.7349 0.2508
S 0.2568 0.2568 0.2568
S 0.2651 0.7492 0.7492
S 0.7349 0.2508 0.2508
S 0.7432 0.7432 0.7432
S 0.7492 0.2651 0.7492
S 0.7492 0.7492 0.2651
```

Calculated values
The uncorrected formation energy is -1.99 eV/atom. Its calculated total energy is -102.441 eV for the cell shown. The density of states at the Fermi level comes out at 0.46 states/eV/atom. The space-group type is R-3m.


Entry 7:
Compound: InPb2Au2
Source: Alexandria via LeMat-Bulk
Functional: GGA-PBE
Structure: relaxed Values from VASP.

Geometry as Quantum ESPRESSO input:
```
&SYSTEM
  ibrav = 0, nat = 10, ntyp = 3
/
ATOMIC_SPECIES
In 114.82 In.upf
Pb 207.20 Pb.upf
Au 196.97 Au.upf
CELL_PARAMETERS angstrom
7.5792 0.0000 0.0000
0.0000 7.5792 0.0000
0.0000 0.0000 4.4106
ATOMIC_POSITIONS crystal
In 0.0000 0.0000 0.0000
In 0.5000 0.5000 0.0000
Pb 0.1685 0.3315 0.5000
Pb 0.3315 0.8315 0.5000
Pb 0.6685 0.1685 0.5000
Pb 0.8315 0.6685 0.5000
Au 0.1353 0.6353 0.0000
Au 0.3647 0.1353 0.0000
Au 0.6353 0.8647 0.0000
Au 0.8647 0.3647 0.0000
```

Calculated values
The calculation puts the formation energy at -7.1 kJ per mole of atoms. Its calculated total energy is -34.153 eV for the cell shown. The calculation puts the energy above the most stable polymorph in this dataset at 21 meV/atom. The density of states at the Fermi level comes out at 0.43 states/eV/atom. The space-group type is P4/mbm.


Entry 8:
Compound: TbSm2ErTm4
Source: Alexandria via LeMat-Bulk
Functional: GGA-PBE
Structure: relaxed Values from VASP.

Geometry as Quantum ESPRESSO input:
```
&SYSTEM
  ibrav = 0, nat = 8, ntyp = 4
/
ATOMIC_SPECIES
Tb 158.93 Tb.upf
Sm 150.36 Sm.upf
Er 167.26 Er.upf
Tm 168.93 Tm.upf
CELL_PARAMETERS angstrom
5.0058 0.0000 0.0000
0.0000 5.0058 0.0000
0.0000 0.0000 9.9492
ATOMIC_POSITIONS crystal
Tb 0.0000 0.0000 0.0000
Sm 0.0000 0.0000 0.5000
Sm 0.5000 0.5000 0.0000
Er 0.5000 0.5000 0.5000
Tm 0.0000 0.5000 0.2507
Tm 0.0000 0.5000 0.7493
Tm 0.5000 0.0000 0.2507
Tm 0.5000 0.0000 0.7493
```

Calculated values
The calculation puts the formation energy at 2.3 kJ per mole of atoms. Its calculated total energy is -36.330 eV for the cell shown. The density of states at the Fermi level comes out at 1.42 states/eV/atom. The space-group type is P4/mmm.